Model one:
## Pm2Sm8Cd (PBE-GGA)

Data for an optimized crystal structure of Pm2Sm8Cd.

The calculation puts the density of states at the Fermi level at 1.37 states/eV per atom.

Cell: 18.271 5.082 8.027 Å, 90.00 105.55 90.00°
Space group C2/m (No. 12)
Asymmetric unit:
1 Pm 0.224 0.000 0.136 x4
2 Sm 0.045 0.000 0.223 x4
3 Sm 0.089 0.500 0.944 x4
4 Sm 0.135 0.000 0.677 x4
5 Sm 0.180 0.500 0.410 x4
6 Cd 0.000 0.500 0.500 x2



Model two:
## Pm2Sm8Cd (PBE-GGA)

Data for an optimized crystal structure of Pm2Sm8Cd.

The calculation puts the density of states at the Fermi level at 1.78 states/eV per atom.

Cell: 5.613 7.643 17.383 Å, 90.00 90.00 90.00°
Space group Immm (No. 71)
Asymmetric unit:
1 Pm 0.000 0.000 0.192 x4
2 Sm 0.000 0.244 0.000 x4
3 Sm 0.000 0.270 0.365 x8
4 Sm 0.000 0.500 0.179 x4
5 Cd 0.000 0.000 0.500 x2



Order of stability, best first: model one, model two



Model one:
## Pm2SmCd6 (PBE-GGA)

Data for an optimized crystal structure of Pm2SmCd6.

The calculation puts the density of states at the Fermi level at 0.88 states/eV per atom.

Cell: 8.7647 8.7647 3.4471 Å, 90.00 90.00 120.00°
Space group P6/mmm (No. 191)
Asymmetric unit:
1 Pm 0.3333 0.6667 0.0000 x2
2 Sm 0.0000 0.0000 0.0000 x1
3 Cd 0.0000 0.3329 0.5000 x6



Model two:
## Pm2SmCd6 (PBE-GGA)

Data for an optimized crystal structure of Pm2SmCd6.

The calculation puts the density of states at the Fermi level at 0.56 states/eV per atom.

Cell: 3.416 8.812 15.502 Å, 90.00 90.00 90.00°
Space group Immm (No. 71)
Asymmetric unit:
1 Pm 0.000 0.000 0.151 x4
2 Sm 0.000 0.500 0.000 x2
3 Cd 0.000 0.171 0.332 x8
4 Cd 0.000 0.327 0.500 x4



Order of stability, best first: model one, model two



Model one:
## Pm2Sm2Cd (PBE-GGA)

Data for an optimized crystal structure of Pm2Sm2Cd.

The calculation puts the density of states at the Fermi level at 1.35 states/eV per atom.

Cell: 3.677 3.677 23.441 Å, 90.00 90.00 90.00°
Space group I4/mmm (No. 139)
Asymmetric unit:
1 Pm 0.000 0.000 0.195 x4
2 Sm 0.000 0.000 0.412 x4
3 Cd 0.000 0.000 0.000 x2



Model two:
## Pm2Sm2Cd (PBE-GGA)

Data for an optimized crystal structure of Pm2Sm2Cd.

The calculation puts the density of states at the Fermi level at 1.62 states/eV per atom.

Cell: 5.204 5.204 25.226 Å, 90.00 90.00 90.00°
Space group I4_1/amd (No. 141, origin choice 2)
Asymmetric unit:
1 Pm 0.000 0.250 0.046 x8
2 Sm 0.000 0.250 0.196 x8
3 Cd 0.000 0.250 0.875 x4



Order of stability, best first: model one, model two



Model one:
## Pm3Sm6Cd (PBE-GGA)

Data for an optimized crystal structure of Pm3Sm6Cd.

The calculation puts the density of states at the Fermi level at 1.49 states/eV per atom.

Cell: 11.099 5.152 11.457 Å, 90.00 92.38 90.00°
Space group P2_1/m (No. 11)
Asymmetric unit:
1 Pm 0.052 0.250 0.403 x2
2 Pm 0.155 0.750 0.210 x2
3 Pm 0.254 0.250 0.012 x2
4 Sm 0.051 0.750 0.899 x2
5 Sm 0.156 0.250 0.704 x2
6 Sm 0.270 0.750 0.509 x2
7 Sm 0.346 0.750 0.816 x2
8 Sm 0.368 0.250 0.320 x2
9 Sm 0.456 0.750 0.108 x2
10 Cd 0.444 0.250 0.611 x2



Model two:
## Pm3Sm6Cd (PBE-GGA)

Data for an optimized crystal structure of Pm3Sm6Cd.

The calculation puts the density of states at the Fermi level at 1.56 states/eV per atom.

Cell: 13.5011 13.5011 12.4178 Å, 90.00 90.00 120.00°
Space group R-3m (No. 166, hexagonal axes)
Asymmetric unit:
1 Pm 0.0543 0.5272 0.1164 x18
2 Sm 0.0000 0.2553 0.0000 x18
3 Sm 0.0897 0.1794 0.7626 x18
4 Cd 0.0000 0.0000 0.0000 x3
5 Cd 0.0000 0.0000 0.5000 x3



Order of stability, best first: model one, model two



Model one:
## Pm6Sm12Cd (PBE-GGA)

Data for an optimized crystal structure of Pm6Sm12Cd.

The calculation puts the density of states at the Fermi level at 1.59 states/eV per atom.

Cell: 13.1376 13.1376 13.1476 Å, 90.00 90.00 120.00°
Space group R-3m (No. 166, hexagonal axes)
Asymmetric unit:
1 Pm 0.0907 0.1815 0.2752 x18
2 Sm 0.0000 0.2606 0.5000 x18
3 Sm 0.0601 0.5301 0.6109 x18
4 Cd 0.0000 0.0000 0.5000 x3



Model two:
## Pm6Sm12Cd (PBE-GGA)

Data for an optimized crystal structure of Pm6Sm12Cd.

The calculation puts the density of states at the Fermi level at 1.53 states/eV per atom.

Cell: 12.0903 12.0903 15.2118 Å, 90.00 90.00 120.00°
Space group R-3 (No. 148, hexagonal axes)
Asymmetric unit:
1 Pm 0.0188 0.4266 0.1880 x18
2 Sm 0.0063 0.1757 0.3136 x18
3 Sm 0.0476 0.8498 0.9159 x18
4 Cd 0.0000 0.0000 0.5000 x3



Order of stability, best first: model two, model one



Model one:
## Pm2Sm3Cd (PBE-GGA)

Data for an optimized crystal structure of Pm2Sm3Cd.

The calculation puts the density of states at the Fermi level at 1.27 states/eV per atom.

Cell: 3.655 3.655 14.359 Å, 90.00 90.00 90.00°
Space group P4/mmm (No. 123)
Asymmetric unit:
1 Pm 0.000 0.000 0.179 x2
2 Sm 0.500 0.500 0.000 x1
3 Sm 0.500 0.500 0.355 x2
4 Cd 0.000 0.000 0.500 x1



Model two:
## Pm2Sm3Cd (PBE-GGA)

Data for an optimized crystal structure of Pm2Sm3Cd.

The calculation puts the density of states at the Fermi level at 1.17 states/eV per atom.

Cell: 6.183 10.743 11.730 Å, 90.00 100.30 90.00°
Space group C2/m (No. 12)
Asymmetric unit:
1 Pm 0.000 0.000 0.000 x2
2 Pm 0.000 0.164 0.500 x4
3 Pm 0.000 0.500 0.500 x2
4 Sm 0.240 0.500 0.243 x4
5 Sm 0.250 0.170 0.244 x8
6 Cd 0.000 0.332 0.000 x4



Order of stability, best first: model one, model two



Model one:
## Pm3Sm2Cd (PBE-GGA)

Data for an optimized crystal structure of Pm3Sm2Cd.

The calculation puts the density of states at the Fermi level at 1.27 states/eV per atom.

Cell: 3.660 3.660 14.392 Å, 90.00 90.00 90.00°
Space group P4/mmm (No. 123)
Asymmetric unit:
1 Pm 0.000 0.000 0.000 x1
2 Pm 0.000 0.000 0.354 x2
3 Sm 0.500 0.500 0.178 x2
4 Cd 0.500 0.500 0.500 x1



Model two:
## Pm3Sm2Cd (PBE-GGA)

Data for an optimized crystal structure of Pm3Sm2Cd.

The calculation puts the density of states at the Fermi level at 1.34 states/eV per atom.

Cell: 10.676 6.192 11.464 Å, 90.00 90.00 90.00°
Space group Cmcm (No. 63)
Asymmetric unit:
1 Pm 0.000 0.000 0.000 x4
2 Pm 0.159 0.500 0.000 x8
3 Sm 0.169 0.169 0.250 x8
4 Cd 0.000 0.329 0.750 x4



Order of stability, best first: model one, model two



Model one:
## PmSm6Cd (PBE-GGA)

Data for an optimized crystal structure of PmSm6Cd.

The calculation puts the density of states at the Fermi level at 1.31 states/eV per atom.

Cell: 6.426 6.428 6.434 Å, 94.78 94.89 94.78°
Space group P-1 (No. 2)
Asymmetric unit:
1 Pm 0.000 0.000 0.000 x1
2 Sm 0.051 0.542 0.260 x2
3 Sm 0.260 0.051 0.543 x2
4 Sm 0.458 0.740 0.949 x2
5 Cd 0.500 0.500 0.500 x1



Model two:
## PmSm6Cd (PBE-GGA)

Data for an optimized crystal structure of PmSm6Cd.

The calculation puts the density of states at the Fermi level at 1.36 states/eV per atom.

Cell: 5.003 5.003 10.216 Å, 90.00 90.00 90.00°
Space group P4/mmm (No. 123)
Asymmetric unit:
1 Pm 0.000 0.000 0.000 x1
2 Sm 0.000 0.500 0.256 x4
3 Sm 0.500 0.500 0.000 x1
4 Sm 0.500 0.500 0.500 x1
5 Cd 0.000 0.000 0.500 x1



Order of stability, best first: model two, model one



Model one:
## PmSmThCd (PBE-GGA)

Data for an optimized crystal structure of PmSmThCd.

The calculation puts the density of states at the Fermi level at 1.61 states/eV per atom.

Cell: 7.848 7.848 7.848 Å, 90.00 90.00 90.00°
Space group F-43m (No. 216)
Asymmetric unit:
1 Pm 0.000 0.000 0.000 x4
2 Sm 0.000 0.000 0.500 x4
3 Th 0.250 0.250 0.750 x4
4 Cd 0.250 0.250 0.250 x4



Model two:
## PmSmThCd (PBE-GGA)

Data for an optimized crystal structure of PmSmThCd.

The calculation puts the density of states at the Fermi level at 0.89 states/eV per atom.

Cell: 3.650 3.650 9.055 Å, 90.00 90.00 90.00°
Space group P4mm (No. 99)
Asymmetric unit:
1 Pm 0.000 0.000 0.000 x1
2 Sm 0.000 0.000 0.467 x1
3 Th 0.500 0.500 0.733 x1
4 Cd 0.500 0.500 0.235 x1



Order of stability, best first: model two, model one



Model one:
## PmSmTmCd (PBE-GGA)

Data for an optimized crystal structure of PmSmTmCd.

The calculation puts the density of states at the Fermi level at 0.91 states/eV per atom.

Cell: 3.627 3.627 9.072 Å, 90.00 90.00 90.00°
Space group P4mm (No. 99)
Asymmetric unit:
1 Pm 0.000 0.000 0.000 x1
2 Sm 0.500 0.500 0.718 x1
3 Tm 0.500 0.500 0.272 x1
4 Cd 0.000 0.000 0.483 x1



Model two:
## PmSmTmCd (PBE-GGA)

Data for an optimized crystal structure of PmSmTmCd.

The calculation puts the density of states at the Fermi level at 1.28 states/eV per atom.

Cell: 7.781 7.781 7.781 Å, 90.00 90.00 90.00°
Space group F-43m (No. 216)
Asymmetric unit:
1 Pm 0.000 0.000 0.000 x4
2 Sm 0.000 0.000 0.500 x4
3 Tm 0.250 0.250 0.750 x4
4 Cd 0.250 0.250 0.250 x4



Order of stability, best first: model one, model two



Model one:
## PmSmYCd (PBE-GGA)

Data for an optimized crystal structure of PmSmYCd.

The calculation puts the density of states at the Fermi level at 1.47 states/eV per atom.

Cell: 7.812 7.812 7.812 Å, 90.00 90.00 90.00°
Space group F-43m (No. 216)
Asymmetric unit:
1 Pm 0.000 0.000 0.000 x4
2 Sm 0.250 0.250 0.250 x4
3 Y 0.250 0.250 0.750 x4
4 Cd 0.000 0.000 0.500 x4



Model two:
## PmSmYCd (PBE-GGA)

Data for an optimized crystal structure of PmSmYCd.

The calculation puts the density of states at the Fermi level at 1.05 states/eV per atom.

Cell: 3.658 3.658 9.092 Å, 90.00 90.00 90.00°
Space group P4mm (No. 99)
Asymmetric unit:
1 Pm 0.000 0.000 0.000 x1
2 Sm 0.500 0.500 0.722 x1
3 Y 0.500 0.500 0.276 x1
4 Cd 0.000 0.000 0.492 x1



Order of stability, best first: model two, model one